VASP calculation (PBE) on a relaxed CeSm2In2Rh5 crystal.

Summary:
magnetization	0.00	μB/f.u.
DFT formation energy	-5.65	eV per formula unit

abc: 10.3832 10.3832 3.7629
angles: 90.00 90.00 90.00
Closest atoms and distances in Å follow each position.
Sites, in units of the cell vectors:
1 Ce 0.0000 0.0000 0.0000  8 Rh 2.85
2 Ce 0.5000 0.5000 0.0000  8 Rh 2.85
3 Sm 0.1669 0.3331 0.0000  3 In 2.98-3.11, 6 Rh 3.09-3.32
4 Sm 0.3331 0.8331 0.0000  3 In 2.98-3.11, 6 Rh 3.09-3.32
5 Sm 0.6669 0.1669 0.0000  3 In 2.98-3.11, 6 Rh 3.09-3.32
6 Sm 0.8331 0.6669 0.0000  3 In 2.98-3.11, 6 Rh 3.09-3.32
7 In 0.1303 0.6303 0.0000  6 Rh 2.68-2.70, 1 Sm 2.98
8 In 0.3697 0.1303 0.0000  6 Rh 2.68-2.70, 1 Sm 2.98
9 In 0.6303 0.8697 0.0000  6 Rh 2.68-2.70, 1 Sm 2.98
10 In 0.8697 0.3697 0.0000  6 Rh 2.68-2.70, 1 Sm 2.98
11 Rh 0.0000 0.5000 0.5000  4 In 2.68
12 Rh 0.0593 0.8029 0.5000  2 In 2.70, 2 Ce 2.85, 2 Rh 3.02
13 Rh 0.1971 0.0593 0.5000  2 In 2.70, 2 Ce 2.85, 2 Rh 3.02
14 Rh 0.3029 0.5593 0.5000  2 In 2.70, 2 Ce 2.85, 2 Rh 3.02
15 Rh 0.4407 0.3029 0.5000  2 In 2.70, 2 Ce 2.85, 2 Rh 3.02
16 Rh 0.5000 0.0000 0.5000  4 In 2.68
17 Rh 0.5593 0.6971 0.5000  2 In 2.70, 2 Ce 2.85, 2 Rh 3.02
18 Rh 0.6971 0.4407 0.5000  2 In 2.70, 2 Ce 2.85, 2 Rh 3.02
19 Rh 0.8029 0.9407 0.5000  2 In 2.70, 2 Ce 2.85, 2 Rh 3.02
20 Rh 0.9407 0.1971 0.5000  2 In 2.70, 2 Ce 2.85, 2 Rh 3.02